Here is a geometry-optimized KMn2Te2 structure from Alexandria. Energies are from PBE-GGA.

* ΔE_f (raw): -254 meV per atom
* calculated volume: 24.45 A^3/atom
* total moment: 0.86 μB per atom
* VASP energy: -0.39675 Ry/atom
* SG: I4/mmm

Cell and atoms, written as CIF:
```
data_KMn2Te2
_cell_length_a 3.8708
_cell_length_b 3.8708
_cell_length_c 8.6055
_cell_angle_alpha 77.00
_cell_angle_beta 77.00
_cell_angle_gamma 90.00
_space_group_name_H-M_alt 'P 1'
_space_group_IT_number 1
loop_
_space_group_symop_operation_xyz
'x,y,z'
loop_
_atom_site_label
_atom_site_type_symbol
_atom_site_fract_x
_atom_site_fract_y
_atom_site_fract_z
_atom_site_occupancy
Te1 Te 0.3571 0.3571 0.2858 1
Mn1 Mn 0.7500 0.2500 0.5000 1
K1 K 0.0000 0.0000 0.0000 1
Mn2 Mn 0.2500 0.7500 0.5000 1
Te2 Te 0.6429 0.6429 0.7142 1
```

Here is a geometry-optimized SmCd12 structure from Alexandria. Energies are from PBE-GGA.

* energy of formation from the pure elements: -1.3 eV per formula unit
* calculated volume: 22.87 A^3/atom
* total moment: 0.00 μB per atom
* VASP energy: -0.09629 Ry/atom
* SG: I4/mmm

Cell and atoms, written as CIF:
```
data_SmCd12
_cell_length_a 6.0073
_cell_length_b 7.6487
_cell_length_c 7.6487
_cell_angle_alpha 81.13
_cell_angle_beta 66.88
_cell_angle_gamma 66.88
_space_group_name_H-M_alt 'P 1'
_space_group_IT_number 1
loop_
_space_group_symop_operation_xyz
'x,y,z'
loop_
_atom_site_label
_atom_site_type_symbol
_atom_site_fract_x
_atom_site_fract_y
_atom_site_fract_z
_atom_site_occupancy
Cd1 Cd 0.5000 0.5000 0.0000 1
Cd2 Cd 0.5000 0.2129 0.7871 1
Cd3 Cd 0.0000 0.0000 0.5000 1
Cd4 Cd 0.0000 0.5000 0.0000 1
Cd5 Cd 0.0000 0.3508 0.6492 1
Cd6 Cd 0.2871 0.2129 0.2129 1
Sm1 Sm 0.0000 0.0000 0.0000 1
Cd7 Cd 0.3508 0.6492 0.6492 1
Cd8 Cd 0.7129 0.7871 0.7871 1
Cd9 Cd 0.5000 0.7871 0.2129 1
Cd10 Cd 0.0000 0.6492 0.3508 1
Cd11 Cd 0.5000 0.0000 0.5000 1
Cd12 Cd 0.6492 0.3508 0.3508 1
```

Here is a geometry-optimized Ba2NaPmHg6 structure from Alexandria. Energies are from PBE-GGA.

* energy of formation from the pure elements: -1.7 eV per formula unit
* calculated volume: 37.01 A^3/atom
* total moment: 0.00 μB per atom
* VASP energy: -0.09902 Ry/atom
* SG: Fm-3m

Cell and atoms, written as CIF:
```
data_Ba2NaPmHg6
_cell_length_a 8.0589
_cell_length_b 8.0589
_cell_length_c 8.0589
_cell_angle_alpha 60.00
_cell_angle_beta 60.00
_cell_angle_gamma 90.00
_space_group_name_H-M_alt 'P 1'
_space_group_IT_number 1
loop_
_space_group_symop_operation_xyz
'x,y,z'
loop_
_atom_site_label
_atom_site_type_symbol
_atom_site_fract_x
_atom_site_fract_y
_atom_site_fract_z
_atom_site_occupancy
Pm1 Pm 0.5000 0.5000 0.0000 1
Hg1 Hg 0.2431 0.7569 0.0000 1
Na1 Na 0.0000 0.0000 0.0000 1
Ba1 Ba 0.2500 0.7500 0.5000 1
Hg2 Hg 0.7569 0.7569 0.0000 1
Hg3 Hg 0.2431 0.2431 0.0000 1
Ba2 Ba 0.7500 0.2500 0.5000 1
Hg4 Hg 0.7569 0.2431 0.0000 1
Hg5 Hg 0.2431 0.2431 0.5138 1
Hg6 Hg 0.7569 0.7569 0.4862 1
```

Here is a geometry-optimized NaPbS2O6 structure from Alexandria. Energies are from PBE-GGA.

* ΔE_f (raw): -1314 meV per atom
* calculated volume: 15.57 A^3/atom
* total moment: 0.10 μB per atom
* VASP energy: -0.41288 Ry/atom
* SG: R-3

Cell and atoms, written as CIF:
```
data_NaPbS2O6
_cell_length_a 5.4350
_cell_length_b 5.4350
_cell_length_c 6.8486
_cell_angle_alpha 66.62
_cell_angle_beta 66.62
_cell_angle_gamma 60.00
_space_group_name_H-M_alt 'P 1'
_space_group_IT_number 1
loop_
_space_group_symop_operation_xyz
'x,y,z'
loop_
_atom_site_label
_atom_site_type_symbol
_atom_site_fract_x
_atom_site_fract_y
_atom_site_fract_z
_atom_site_occupancy
O1 O 0.0248 0.4988 0.7511 1
S1 S 0.2218 0.2218 0.3345 1
O2 O 0.7253 0.0248 0.7511 1
S2 S 0.7782 0.7782 0.6655 1
O3 O 0.4988 0.7253 0.7511 1
Na1 Na 0.5000 0.5000 0.5000 1
O4 O 0.2747 0.9752 0.2489 1
Pb1 Pb 0.0000 0.0000 0.0000 1
O5 O 0.9752 0.5012 0.2489 1
O6 O 0.5012 0.2747 0.2489 1
```

Here is a geometry-optimized BaCeIn6 structure from Alexandria. Energies are from PBE-GGA.

* energy of formation from the pure elements: -2.4 eV per formula unit
* calculated volume: 29.34 A^3/atom
* total moment: 0.10 μB per atom
* VASP energy: -0.24544 Ry/atom
* SG: Pmm2

Cell and atoms, written as CIF:
```
data_BaCeIn6
_cell_length_a 5.0403
_cell_length_b 6.5907
_cell_length_c 7.0667
_cell_angle_alpha 90.00
_cell_angle_beta 90.00
_cell_angle_gamma 90.00
_space_group_name_H-M_alt 'P 1'
_space_group_IT_number 1
loop_
_space_group_symop_operation_xyz
'x,y,z'
loop_
_atom_site_label
_atom_site_type_symbol
_atom_site_fract_x
_atom_site_fract_y
_atom_site_fract_z
_atom_site_occupancy
In1 In 0.0000 0.7106 0.5000 1
In2 In 0.5000 0.8626 0.7254 1
In3 In 0.5000 0.8626 0.2746 1
In4 In 0.5000 0.2415 0.0000 1
Ba1 Ba 0.0000 0.6302 0.0000 1
In5 In 0.0000 0.1557 0.2733 1
Ce1 Ce 0.5000 0.3812 0.5000 1
In6 In 0.0000 0.1557 0.7267 1
```

Here is a geometry-optimized LiCa2PmSe4 structure from Alexandria. Energies are from PBE-GGA.

* ΔE_f (raw): -1828 meV per atom
* calculated volume: 25.73 A^3/atom
* total moment: 0.00 μB per atom
* VASP energy: -0.36042 Ry/atom
* SG: P2/m

Cell and atoms, written as CIF:
```
data_LiCa2PmSe4
_cell_length_a 4.2069
_cell_length_b 7.1625
_cell_length_c 7.2181
_cell_angle_alpha 108.85
_cell_angle_beta 90.00
_cell_angle_gamma 90.00
_space_group_name_H-M_alt 'P 1'
_space_group_IT_number 1
loop_
_space_group_symop_operation_xyz
'x,y,z'
loop_
_atom_site_label
_atom_site_type_symbol
_atom_site_fract_x
_atom_site_fract_y
_atom_site_fract_z
_atom_site_occupancy
Se1 Se 0.5000 0.2525 0.2437 1
Se2 Se 0.0000 0.2510 0.7534 1
Se3 Se 0.0000 0.7490 0.2466 1
Li1 Li 0.5000 0.5000 0.0000 1
Se4 Se 0.5000 0.7475 0.7563 1
Ca1 Ca 0.0000 0.5000 0.5000 1
Ca2 Ca 0.5000 0.0000 0.5000 1
Pm1 Pm 0.0000 0.0000 0.0000 1
```

Here is a geometry-optimized CrSiBr3 structure from Alexandria. Energies are from PBE-GGA.

* ΔE_f (raw): 147 meV per atom
* calculated volume: 27.13 A^3/atom
* total moment: 1.00 μB per atom
* VASP energy: -0.28411 Ry/atom
* SG: Pm-3m
* energy above the most stable polymorph in this dataset: 0 meV/atom

Cell and atoms, written as CIF:
```
data_CrSiBr3
_cell_length_a 5.1379
_cell_length_b 5.1379
_cell_length_c 5.1379
_cell_angle_alpha 90.00
_cell_angle_beta 90.00
_cell_angle_gamma 90.00
_space_group_name_H-M_alt 'P 1'
_space_group_IT_number 1
loop_
_space_group_symop_operation_xyz
'x,y,z'
loop_
_atom_site_label
_atom_site_type_symbol
_atom_site_fract_x
_atom_site_fract_y
_atom_site_fract_z
_atom_site_occupancy
Br1 Br 0.0000 0.0000 0.5000 1
Si1 Si 0.5000 0.5000 0.5000 1
Br2 Br 0.0000 0.5000 0.0000 1
Cr1 Cr 0.0000 0.0000 0.0000 1
Br3 Br 0.5000 0.0000 0.0000 1
```

Here is a geometry-optimized Pm2NbS6 structure from Alexandria. Energies are from PBE-GGA.

* ΔE_f (raw): -1369 meV per atom
* calculated volume: 22.48 A^3/atom
* total moment: 0.00 μB per atom
* VASP energy: -0.46266 Ry/atom
* SG: P2_1/c

Cell and atoms, written as CIF:
```
data_Pm2NbS6
_cell_length_a 6.2881
_cell_length_b 7.3825
_cell_length_c 8.7262
_cell_angle_alpha 90.00
_cell_angle_beta 92.77
_cell_angle_gamma 90.00
_space_group_name_H-M_alt 'P 1'
_space_group_IT_number 1
loop_
_space_group_symop_operation_xyz
'x,y,z'
loop_
_atom_site_label
_atom_site_type_symbol
_atom_site_fract_x
_atom_site_fract_y
_atom_site_fract_z
_atom_site_occupancy
S1 S 0.1189 0.0246 0.7693 1
S2 S 0.6189 0.4754 0.2693 1
S3 S 0.8457 0.6993 0.5550 1
S4 S 0.1727 0.3329 0.0577 1
S5 S 0.3273 0.8329 0.4423 1
Pm1 Pm 0.4640 0.1166 0.2522 1
Nb1 Nb 0.5000 0.5000 0.0000 1
Nb2 Nb 0.0000 0.0000 0.5000 1
Pm2 Pm 0.9640 0.3834 0.7522 1
S6 S 0.6727 0.1671 0.5577 1
S7 S 0.6543 0.1993 0.9450 1
Pm3 Pm 0.5360 0.8834 0.7478 1
S8 S 0.8273 0.6671 0.9423 1
Pm4 Pm 0.0360 0.6166 0.2478 1
S9 S 0.3811 0.5246 0.7307 1
S10 S 0.1543 0.3007 0.4450 1
S11 S 0.8811 0.9754 0.2307 1
S12 S 0.3457 0.8007 0.0550 1
```

What is the calculated volume in the second record?
22.87 A^3/atom